1.
First-principles (PBE) data for crystalline RbRhC2 at its relaxed geometry, as listed in Alexandria.

VASP energy, eV/atom: -4.01
DOS at the Fermi energy, states/eV per cell: 1.955
ΔH_f (0 K), eV per atom: 2.682

CIF file:
```
data_RbRhC2
_chemical_formula_sum 'Rb1 Rh1 C2'
_space_group_name_H-M_alt 'P 1'
_space_group_IT_number 1
_space_group_name_Hall 'P 1'
_cell_length_a 4.2902
_cell_length_b 4.2902
_cell_length_c 4.2902
_cell_angle_alpha 60.00
_cell_angle_beta 60.00
_cell_angle_gamma 60.00
loop_
_atom_site_label
_atom_site_type_symbol
_atom_site_fract_x
_atom_site_fract_y
_atom_site_fract_z
Rb1 Rb 0.0000 0.0000 0.0000
Rh1 Rh 0.5000 0.5000 0.5000
C1 C 0.2500 0.2500 0.2500
C2 C 0.7500 0.7500 0.7500
```


2.
First-principles (PBE) data for crystalline Rb2RhC at its relaxed geometry, as listed in Alexandria.

VASP energy, eV/atom: -4.12
DOS at the Fermi energy, states/eV per cell: 4.079
ΔH_f (0 K), eV per atom: 0.510

CIF file:
```
data_Rb2RhC
_chemical_formula_sum 'Rb4 Rh2 C2'
_space_group_name_H-M_alt 'P 1'
_space_group_IT_number 1
_space_group_name_Hall 'P 1'
_cell_length_a 8.8928
_cell_length_b 8.8928
_cell_length_c 8.8928
_cell_angle_alpha 92.69
_cell_angle_beta 92.69
_cell_angle_gamma 154.97
loop_
_atom_site_label
_atom_site_type_symbol
_atom_site_fract_x
_atom_site_fract_y
_atom_site_fract_z
Rb1 Rb 0.3750 0.1640 0.2890
Rb2 Rb 0.8360 0.1250 0.2110
Rb3 Rb 0.8750 0.0860 0.7110
Rb4 Rb 0.9140 0.6250 0.7890
Rh1 Rh 0.2500 0.7500 0.5000
Rh2 Rh 0.5000 0.5000 0.0000
C1 C 0.0000 0.0000 0.0000
C2 C 0.7500 0.2500 0.5000
```


3.
First-principles (PBE) data for crystalline RbSnRh2C at its relaxed geometry, as listed in Alexandria.

VASP energy, eV/atom: -5.03
DOS at the Fermi energy, states/eV per cell: 2.308
ΔH_f (0 K), eV per atom: 0.749

CIF file:
```
data_RbSnRh2C
_chemical_formula_sum 'Rb1 Sn1 Rh2 C1'
_space_group_name_H-M_alt 'P 1'
_space_group_IT_number 1
_space_group_name_Hall 'P 1'
_cell_length_a 4.2704
_cell_length_b 4.2704
_cell_length_c 5.1599
_cell_angle_alpha 90.00
_cell_angle_beta 90.00
_cell_angle_gamma 90.00
loop_
_atom_site_label
_atom_site_type_symbol
_atom_site_fract_x
_atom_site_fract_y
_atom_site_fract_z
Rb1 Rb 0.0000 0.0000 0.0000
Sn1 Sn 0.5000 0.5000 0.0000
Rh1 Rh 0.0000 0.5000 0.5000
Rh2 Rh 0.5000 0.0000 0.5000
C1 C 0.5000 0.5000 0.5000
```


4.
First-principles (PBE) data for crystalline Rb2TaRhC at its relaxed geometry, as listed in Alexandria.

VASP energy, eV/atom: -4.50
DOS at the Fermi energy, states/eV per cell: 5.892
ΔH_f (0 K), eV per atom: 1.575

CIF file:
```
data_Rb2TaRhC
_chemical_formula_sum 'Rb2 Ta1 Rh1 C1'
_space_group_name_H-M_alt 'P 1'
_space_group_IT_number 1
_space_group_name_Hall 'P 1'
_cell_length_a 6.0453
_cell_length_b 6.0453
_cell_length_c 4.0718
_cell_angle_alpha 90.00
_cell_angle_beta 90.00
_cell_angle_gamma 90.00
loop_
_atom_site_label
_atom_site_type_symbol
_atom_site_fract_x
_atom_site_fract_y
_atom_site_fract_z
Rb1 Rb 0.0000 0.5000 0.0000
Rb2 Rb 0.5000 0.0000 0.0000
Ta1 Ta 0.0000 0.0000 0.5000
Rh1 Rh 0.5000 0.5000 0.5000
C1 C 0.0000 0.0000 0.0000
```


5.
First-principles (PBE) data for crystalline RbRu2C at its relaxed geometry, as listed in Alexandria.

VASP energy, eV/atom: -6.24
DOS at the Fermi energy, states/eV per cell: 4.567
ΔH_f (0 K), eV per atom: 0.945

CIF file:
```
data_RbRu2C
_chemical_formula_sum 'Rb2 Ru4 C2'
_space_group_name_H-M_alt 'P 1'
_space_group_IT_number 1
_space_group_name_Hall 'P 1'
_cell_length_a 6.2858
_cell_length_b 6.2858
_cell_length_c 6.2858
_cell_angle_alpha 60.00
_cell_angle_beta 60.00
_cell_angle_gamma 60.00
loop_
_atom_site_label
_atom_site_type_symbol
_atom_site_fract_x
_atom_site_fract_y
_atom_site_fract_z
Rb1 Rb 0.1250 0.1250 0.1250
Rb2 Rb 0.8750 0.8750 0.8750
Ru1 Ru 0.0000 0.5000 0.5000
Ru2 Ru 0.5000 0.0000 0.5000
Ru3 Ru 0.5000 0.5000 0.0000
Ru4 Ru 0.5000 0.5000 0.5000
C1 C 0.3750 0.3750 0.3750
C2 C 0.6250 0.6250 0.6250
```


6.
First-principles (PBE) data for crystalline RbRuC3 at its relaxed geometry, as listed in Alexandria.

VASP energy, eV/atom: -2.84
DOS at the Fermi energy, states/eV per cell: 5.245
Offset from the most stable computed form, meV per atom: 2860
ΔH_f (0 K), eV per atom: 4.740

CIF file:
```
data_RbRuC3
_chemical_formula_sum 'Rb1 Ru1 C3'
_space_group_name_H-M_alt 'P 1'
_space_group_IT_number 1
_space_group_name_Hall 'P 1'
_cell_length_a 4.1955
_cell_length_b 4.1955
_cell_length_c 4.1955
_cell_angle_alpha 90.00
_cell_angle_beta 90.00
_cell_angle_gamma 90.00
loop_
_atom_site_label
_atom_site_type_symbol
_atom_site_fract_x
_atom_site_fract_y
_atom_site_fract_z
Rb1 Rb 0.0000 0.0000 0.0000
Ru1 Ru 0.5000 0.5000 0.5000
C1 C 0.0000 0.0000 0.5000
C2 C 0.0000 0.5000 0.0000
C3 C 0.5000 0.0000 0.0000
```


7.
First-principles (PBE) data for crystalline RbRuC3 at its relaxed geometry, as listed in Alexandria.

VASP energy, eV/atom: -5.70
DOS at the Fermi energy, states/eV per cell: 3.139
Offset from the most stable computed form, meV per atom: 0
ΔH_f (0 K), eV per atom: 1.881

CIF file:
```
data_RbRuC3
_chemical_formula_sum 'Rb1 Ru1 C3'
_space_group_name_H-M_alt 'P 1'
_space_group_IT_number 1
_space_group_name_Hall 'P 1'
_cell_length_a 4.1317
_cell_length_b 4.1317
_cell_length_c 4.1317
_cell_angle_alpha 90.00
_cell_angle_beta 90.00
_cell_angle_gamma 90.00
loop_
_atom_site_label
_atom_site_type_symbol
_atom_site_fract_x
_atom_site_fract_y
_atom_site_fract_z
Rb1 Rb 0.0000 0.0000 0.0000
Ru1 Ru 0.5000 0.5000 0.5000
C1 C 0.0000 0.5000 0.5000
C2 C 0.5000 0.0000 0.5000
C3 C 0.5000 0.5000 0.0000
```


8.
First-principles (PBE) data for crystalline Rb2CS3 at its relaxed geometry, as listed in Alexandria.

VASP energy, eV/atom: -4.48

CIF file:
```
data_Rb2CS3
_chemical_formula_sum 'Rb4 C2 S6'
_space_group_name_H-M_alt 'P 1'
_space_group_IT_number 1
_space_group_name_Hall 'P 1'
_cell_length_a 10.6825
_cell_length_b 10.2047
_cell_length_c 7.0153
_cell_angle_alpha 74.10
_cell_angle_beta 66.74
_cell_angle_gamma 39.17
loop_
_atom_site_label
_atom_site_type_symbol
_atom_site_fract_x
_atom_site_fract_y
_atom_site_fract_z
Rb1 Rb 0.2206 0.7794 0.7794
Rb2 Rb 0.2500 0.2500 0.2500
Rb3 Rb 0.7500 0.7500 0.7500
Rb4 Rb 0.7794 0.2206 0.2206
C1 C 0.1673 0.1673 0.8327
C2 C 0.8327 0.8327 0.1673
S1 S 0.0185 0.7425 0.2575
S2 S 0.2575 0.9815 0.0185
S3 S 0.2603 0.2603 0.7397
S4 S 0.7397 0.7397 0.2603
S5 S 0.7425 0.0185 0.9815
S6 S 0.9815 0.2575 0.7425
```


9.
First-principles (PBE) data for crystalline RbC3S at its relaxed geometry, as listed in Alexandria.

VASP energy, eV/atom: -3.71
DOS at the Fermi energy, states/eV per cell: 3.192
Offset from the most stable computed form, meV per atom: 0

CIF file:
```
data_RbC3S
_chemical_formula_sum 'Rb1 C3 S1'
_space_group_name_H-M_alt 'P 1'
_space_group_IT_number 1
_space_group_name_Hall 'P 1'
_cell_length_a 4.0217
_cell_length_b 4.0217
_cell_length_c 4.0217
_cell_angle_alpha 90.00
_cell_angle_beta 90.00
_cell_angle_gamma 90.00
loop_
_atom_site_label
_atom_site_type_symbol
_atom_site_fract_x
_atom_site_fract_y
_atom_site_fract_z
Rb1 Rb 0.0000 0.0000 0.0000
C1 C 0.0000 0.5000 0.5000
C2 C 0.5000 0.0000 0.5000
C3 C 0.5000 0.5000 0.0000
S1 S 0.5000 0.5000 0.5000
```


10.
First-principles (PBE) data for crystalline RbC3S at its relaxed geometry, as listed in Alexandria.

VASP energy, eV/atom: -2.10
DOS at the Fermi energy, states/eV per cell: 11.230
Offset from the most stable computed form, meV per atom: 1609

CIF file:
```
data_RbC3S
_chemical_formula_sum 'Rb1 C3 S1'
_space_group_name_H-M_alt 'P 1'
_space_group_IT_number 1
_space_group_name_Hall 'P 1'
_cell_length_a 5.6164
_cell_length_b 5.6164
_cell_length_c 5.6164
_cell_angle_alpha 90.00
_cell_angle_beta 90.00
_cell_angle_gamma 90.00
loop_
_atom_site_label
_atom_site_type_symbol
_atom_site_fract_x
_atom_site_fract_y
_atom_site_fract_z
Rb1 Rb 0.0000 0.0000 0.0000
C1 C 0.0000 0.0000 0.5000
C2 C 0.0000 0.5000 0.0000
C3 C 0.5000 0.0000 0.0000
S1 S 0.5000 0.5000 0.5000
```


11.
First-principles (PBE) data for crystalline Rb3CS4 at its relaxed geometry, as listed in Alexandria.

VASP energy, eV/atom: -4.06
DOS at the Fermi energy, states/eV per cell: 34.777

CIF file:
```
data_Rb3CS4
_chemical_formula_sum 'Rb12 C4 S16'
_space_group_name_H-M_alt 'P 1'
_space_group_IT_number 1
_space_group_name_Hall 'P 1'
_cell_length_a 9.2782
_cell_length_b 11.1819
_cell_length_c 9.1277
_cell_angle_alpha 90.00
_cell_angle_beta 90.00
_cell_angle_gamma 90.00
loop_
_atom_site_label
_atom_site_type_symbol
_atom_site_fract_x
_atom_site_fract_y
_atom_site_fract_z
Rb1 Rb 0.0279 0.0419 0.2114
Rb2 Rb 0.0279 0.4581 0.2114
Rb3 Rb 0.1674 0.7500 0.4106
Rb4 Rb 0.3326 0.2500 0.9106
Rb5 Rb 0.4721 0.5419 0.7114
Rb6 Rb 0.4721 0.9581 0.7114
Rb7 Rb 0.5279 0.0419 0.2886
Rb8 Rb 0.5279 0.4581 0.2886
Rb9 Rb 0.6674 0.7500 0.0894
Rb10 Rb 0.8326 0.2500 0.5894
Rb11 Rb 0.9721 0.5419 0.7886
Rb12 Rb 0.9721 0.9581 0.7886
C1 C 0.2252 0.7500 0.9889
C2 C 0.2748 0.2500 0.4889
C3 C 0.7252 0.7500 0.5111
C4 C 0.7748 0.2500 0.0111
S1 S 0.0403 0.7500 0.0630
S2 S 0.1808 0.1150 0.5527
S3 S 0.1808 0.3850 0.5527
S4 S 0.2265 0.7500 0.7879
S5 S 0.2735 0.2500 0.2879
S6 S 0.3192 0.6150 0.0527
S7 S 0.3192 0.8850 0.0527
S8 S 0.4597 0.2500 0.5630
S9 S 0.5403 0.7500 0.4370
S10 S 0.6808 0.1150 0.9473
S11 S 0.6808 0.3850 0.9473
S12 S 0.7265 0.7500 0.7121
S13 S 0.7735 0.2500 0.2121
S14 S 0.8192 0.6150 0.4473
S15 S 0.8192 0.8850 0.4473
S16 S 0.9597 0.2500 0.9370
```


12.
First-principles (PBE) data for crystalline Rb2SbCS at its relaxed geometry, as listed in Alexandria.

VASP energy, eV/atom: -3.27
DOS at the Fermi energy, states/eV per cell: 2.512

CIF file:
```
data_Rb2SbCS
_chemical_formula_sum 'Rb2 Sb1 C1 S1'
_space_group_name_H-M_alt 'P 1'
_space_group_IT_number 1
_space_group_name_Hall 'P 1'
_cell_length_a 6.8867
_cell_length_b 6.8867
_cell_length_c 4.1233
_cell_angle_alpha 90.00
_cell_angle_beta 90.00
_cell_angle_gamma 90.00
loop_
_atom_site_label
_atom_site_type_symbol
_atom_site_fract_x
_atom_site_fract_y
_atom_site_fract_z
Rb1 Rb 0.0000 0.5000 0.0000
Rb2 Rb 0.5000 0.0000 0.0000
Sb1 Sb 0.0000 0.0000 0.0000
C1 C 0.0000 0.0000 0.5000
S1 S 0.5000 0.5000 0.5000
```


13.
First-principles (PBE) data for crystalline RbSbCS2 at its relaxed geometry, as listed in Alexandria.

VASP energy, eV/atom: -3.27
DOS at the Fermi energy, states/eV per cell: 2.592

CIF file:
```
data_RbSbCS2
_chemical_formula_sum 'Rb1 Sb1 C1 S2'
_space_group_name_H-M_alt 'P 1'
_space_group_IT_number 1
_space_group_name_Hall 'P 1'
_cell_length_a 4.5744
_cell_length_b 4.5744
_cell_length_c 4.9003
_cell_angle_alpha 90.00
_cell_angle_beta 90.00
_cell_angle_gamma 90.00
loop_
_atom_site_label
_atom_site_type_symbol
_atom_site_fract_x
_atom_site_fract_y
_atom_site_fract_z
Rb1 Rb 0.0000 0.0000 0.0000
Sb1 Sb 0.5000 0.5000 0.0000
C1 C 0.0000 0.0000 0.5000
S1 S 0.0000 0.5000 0.5000
S2 S 0.5000 0.0000 0.5000
```